(1)
Entry from Alexandria via LeMat-Bulk: a relaxed structure of LiPmCdPb (PBE-GGA).

```
LiPmCdPb
1.0
-2.8851 -3.0937 -1.0868
3.5044 -3.1643 -0.2954
-0.6088 -1.1238 4.8153
Cd Li Pm Pb
1 1 1 1
Direct
0.0000 0.0000 0.0000
0.5000 0.5000 0.0000
0.5000 0.0000 0.5000
0.0000 0.5000 0.5000
```

Crystal system: orthorhombic
ρ, g cm⁻³: 7.6

(2)
Entry from Alexandria via LeMat-Bulk: a relaxed structure of LiPmCdPb (PBE-GGA).

```
LiPmCdPb
1.0
-3.3878 -0.5503 -3.9700
1.1855 -3.1233 -4.0473
-2.5616 -4.5333 -0.6543
Pm Pb Cd Li
1 1 1 1
Direct
0.2500 0.2500 0.2500
0.5000 0.5000 0.5000
0.0000 0.0000 0.0000
0.7500 0.7500 0.7500
```

Crystal system: cubic
ρ, g cm⁻³: 7.7

Most stable of them? (2).

(1)
Entry from Alexandria via LeMat-Bulk: a relaxed structure of LiPuCdPb (PBE-GGA).

```
LiPuCdPb
1.0
5.2121 0.0000 0.0000
2.6060 4.5138 0.0000
2.6060 1.5046 4.2557
Li Pu Cd Pb
1 1 1 1
Direct
0.7500 0.7500 0.7500
0.2500 0.2500 0.2500
0.5000 0.5000 0.5000
0.0000 0.0000 0.0000
```

Crystal system: cubic
ρ, g cm⁻³: 9.5

(2)
Entry from Alexandria via LeMat-Bulk: a relaxed structure of LiPuCdPb (PBE-GGA).

```
LiPuCdPb
1.0
3.4539 0.0000 0.0000
0.0000 3.4539 0.0000
0.0000 0.0000 7.8942
Pu Pb Li Cd
1 1 1 1
Direct
0.0000 0.0000 0.0772
0.5000 0.5000 0.7829
0.0000 0.0000 0.5621
0.5000 0.5000 0.3625
```

Crystal system: tetragonal
ρ, g cm⁻³: 10.1

Most stable of them? (2).

(1)
Entry from Alexandria via LeMat-Bulk: a relaxed structure of LiSmCdPb (PBE-GGA).

```
LiSmCdPb
1.0
5.2309 0.0000 0.0000
2.6155 4.5301 0.0000
2.6155 1.5100 4.2710
Li Cd Sm Pb
1 1 1 1
Direct
0.7500 0.7500 0.7500
0.0000 0.0000 0.0000
0.2500 0.2500 0.2500
0.5000 0.5000 0.5000
```

Crystal system: cubic
ρ, g cm⁻³: 7.8

(2)
Entry from Alexandria via LeMat-Bulk: a relaxed structure of LiSmCdPb (PBE-GGA).

```
LiSmCdPb
1.0
4.3464 0.0000 0.0000
0.0000 4.7170 0.0000
0.0000 0.0000 4.9661
Pb Cd Li Sm
1 1 1 1
Direct
0.0000 0.5000 0.5000
0.0000 0.0000 0.0000
0.5000 0.5000 0.0000
0.5000 0.0000 0.5000
```

Crystal system: orthorhombic
ρ, g cm⁻³: 7.8

Most stable of them? (1).

(1)
Entry from Alexandria via LeMat-Bulk: a relaxed structure of LiYCdPb (PBE-GGA).

```
LiYCdPb
1.0
4.2733 0.0000 0.0000
0.0000 4.6627 0.0000
0.0000 0.0000 4.9047
Li Cd Y Pb
1 1 1 1
Direct
0.0000 0.0000 0.0000
0.5000 0.5000 0.0000
0.0000 0.5000 0.5000
0.5000 0.0000 0.5000
```

Crystal system: orthorhombic
ρ, g cm⁻³: 7.1

(2)
Entry from Alexandria via LeMat-Bulk: a relaxed structure of LiYCdPb (PBE-GGA).

```
LiYCdPb
1.0
-4.3916 0.1281 2.7321
-0.5227 -2.9783 4.1980
-0.0573 2.1494 4.7057
Y Pb Cd Li
1 1 1 1
Direct
0.7500 0.7500 0.7500
0.5000 0.5000 0.5000
0.0000 0.0000 0.0000
0.2500 0.2500 0.2500
```

Crystal system: cubic
ρ, g cm⁻³: 7.0

Most stable of them? (1).

(1)
Entry from Alexandria via LeMat-Bulk: a relaxed structure of LiZrCdPb (PBE-GGA).

```
LiZrCdPb
1.0
4.9996 0.0000 0.0000
2.4998 4.3298 0.0000
2.4998 1.4433 4.0822
Li Zr Pb Cd
1 1 1 1
Direct
0.2500 0.2500 0.2500
0.7500 0.7500 0.7500
0.5000 0.5000 0.5000
0.0000 0.0000 0.0000
```

Crystal system: cubic
ρ, g cm⁻³: 7.9

(2)
Entry from Alexandria via LeMat-Bulk: a relaxed structure of LiZrCdPb (PBE-GGA).

```
LiZrCdPb
1.0
-1.1733 2.1917 3.3277
2.3362 -2.7181 2.6139
3.7470 2.7496 -0.4898
Cd Pb Zr Li
1 1 1 1
Direct
0.0000 0.5000 0.5000
0.0000 0.0000 0.0000
0.5000 0.5000 0.0000
0.5000 0.0000 0.5000
```

Crystal system: orthorhombic
ρ, g cm⁻³: 8.1

Most stable of them? (2).

(1)
Entry from Alexandria via LeMat-Bulk: a relaxed structure of Li7CdPd2 (PBE-GGA).

```
Li7CdPd2
1.0
-1.4212 2.0122 1.3282
-1.5773 -3.3499 3.3875
10.1113 3.9252 4.8723
Li Cd Pd
7 1 2
Direct
0.5000 0.8551 0.2076
0.0000 0.7903 0.5806
0.5000 0.6476 0.7924
0.5000 0.5000 0.0000
0.5000 0.1449 0.7924
0.0000 0.2097 0.4194
0.5000 0.3524 0.2076
0.0000 0.0000 0.0000
0.5000 0.6958 0.3915
0.5000 0.3042 0.6085
```

Crystal system: orthorhombic
ρ, g cm⁻³: 3.8

(2)
Entry from Alexandria via LeMat-Bulk: a relaxed structure of Li7CdPd2 (PBE-GGA).

```
Li7CdPd2
1.0
-1.0859 4.4118 1.1822
-6.9210 -1.6465 -0.2129
3.2232 -0.8902 6.2829
Pd Li Cd
2 7 1
Direct
0.5000 0.7061 0.2939
0.5000 0.2939 0.7061
0.0000 0.6609 0.3391
0.5000 0.5000 0.5000
0.0000 0.3391 0.6609
0.5000 0.3128 0.0648
0.5000 0.6872 0.9352
0.5000 0.0648 0.3128
0.5000 0.9352 0.6872
0.0000 0.0000 0.0000
```

Crystal system: orthorhombic
ρ, g cm⁻³: 2.9

Most stable of them? (1).